A plane-wave DFT calculation with GGA-PBE was carried out for a geometry-optimized Ce5Re structure.

Summary:
**Theoretical density**: 10.428 Mg/m³
**Energy**: -6.8831 eV per atom
**Fermi-level density of states**: 17.09 states/eV/cell
**Calculated formation energy**: 0.14 eV/atom

Cell lengths 6.6775, 6.6775, 4.2645 Å; angles 90.00, 90.00, 132.04 degrees
Fractional coordinates of all 6 atoms:
Ce 0.0000 0.0000 0.0000
Ce 0.1612 0.8388 0.5000
Ce 0.3469 0.6531 0.0000
Ce 0.6531 0.3469 0.0000
Ce 0.8388 0.1612 0.5000
Re 0.5000 0.5000 0.5000

---

A plane-wave DFT calculation with GGA-PBE was carried out for a geometry-optimized SrMg2W structure.

Summary:
**Relative energy among the computed polymorphs**: 352 meV/atom
**Theoretical density**: 5.336 Mg/m³
**Energy**: -3.5222 eV per atom
**Fermi-level density of states**: 3.51 states/eV/cell
**Calculated formation energy**: 0.93 eV/atom

Cell lengths 5.2030, 5.2030, 5.2030 Å; angles 60.00, 60.00, 60.00 degrees
Fractional coordinates of all 4 atoms:
Sr 0.0000 0.0000 0.0000
Mg 0.5000 0.5000 0.5000
Mg 0.7500 0.7500 0.7500
W 0.2500 0.2500 0.2500

---

A plane-wave DFT calculation with GGA-PBE was carried out for a geometry-optimized ScTa2Cd structure.

Summary:
**Theoretical density**: 11.039 Mg/m³
**Energy**: -7.5406 eV per atom
**Fermi-level density of states**: 4.19 states/eV/cell
**Calculated formation energy**: 0.20 eV/atom

Cell lengths 4.1097, 4.1097, 4.6245 Å; angles 90.00, 90.00, 90.00 degrees
Fractional coordinates of all 4 atoms:
Sc 0.0000 0.0000 0.0000
Ta 0.0000 0.5000 0.5000
Ta 0.5000 0.0000 0.5000
Cd 0.5000 0.5000 0.0000

---

A plane-wave DFT calculation with GGA-PBE was carried out for a geometry-optimized Zr2TiRh structure.

Summary:
**Theoretical density**: 7.303 Mg/m³
**Energy**: -8.3761 eV per atom
**Fermi-level density of states**: 4.08 states/eV/cell
**Calculated formation energy**: -0.29 eV/atom

Cell lengths 3.1267, 4.5017, 5.5935 Å; angles 90.17, 105.78, 90.07 degrees
Fractional coordinates of all 4 atoms:
Zr 0.0000 0.0000 0.0000
Zr 0.2864 0.4992 0.7043
Ti 0.6830 0.5007 0.2368
Rh 0.5308 0.9989 0.4775

---

A plane-wave DFT calculation with GGA-PBE was carried out for a geometry-optimized MgSiPb structure.

Summary:
**Relative energy among the computed polymorphs**: 47 meV/atom
**Theoretical density**: 5.876 Mg/m³
**Energy**: -3.3138 eV per atom
**Formation energy (no corrections)**: 0.2615 eV per atom
**Fermi-level density of states**: 1.93 states/eV/cell

Cell lengths 4.5779, 4.5779, 4.0416 Å; angles 90.00, 90.00, 120.00 degrees
Fractional coordinates of all 3 atoms:
Mg 0.0000 0.0000 0.0000
Si 0.6667 0.3333 0.9885
Pb 0.3333 0.6667 0.4967

---

A plane-wave DFT calculation with GGA-PBE was carried out for a geometry-optimized Tb5Se8 structure.

Summary:
**Theoretical density**: 5.886 Mg/m³
**Energy**: -5.6508 eV per atom
**Formation energy (no corrections)**: -1.7256 eV per atom
**Fermi-level density of states**: 8.00 states/eV/cell

Cell lengths 7.9270, 7.9270, 9.7050 Å; angles 125.07, 125.07, 63.53 degrees
Fractional coordinates of all 13 atoms:
Tb 0.0000 0.0000 0.0000
Tb 0.2586 0.7414 0.5000
Tb 0.2801 0.2801 0.0055
Tb 0.7199 0.7199 0.9945
Tb 0.7414 0.2586 0.5000
Se 0.0133 0.0133 0.3105
Se 0.0135 0.5570 0.8319
Se 0.4430 0.9865 0.1681
Se 0.4532 0.4532 0.6557
Se 0.5468 0.5468 0.3443
Se 0.5570 0.0135 0.8319
Se 0.9865 0.4430 0.1681
Se 0.9867 0.9867 0.6895

---

A plane-wave DFT calculation with GGA-PBE was carried out for a geometry-optimized ZrSc2Se structure.

Summary:
**Theoretical density**: 4.678 Mg/m³
**Energy**: -6.5423 eV per atom
**Formation energy (no corrections)**: -0.3684 eV per atom
**Fermi-level density of states**: 7.56 states/eV/cell

Cell lengths 6.3884, 6.3884, 6.3884 Å; angles 101.08, 101.08, 127.99 degrees
Fractional coordinates of all 8 atoms:
Zr 0.0000 0.0000 0.0000
Zr 0.7500 0.2500 0.5000
Sc 0.1882 0.1250 0.5632
Sc 0.3750 0.8118 0.9368
Sc 0.5618 0.6250 0.4368
Sc 0.8750 0.4382 0.0632
Se 0.2500 0.7500 0.5000
Se 0.5000 0.5000 0.0000

---

A plane-wave DFT calculation with GGA-PBE was carried out for a geometry-optimized Ti2VPd2 structure.

Summary:
**Relative energy among the computed polymorphs**: 99 meV/atom
**Theoretical density**: 7.317 Mg/m³
**Energy**: -7.2651 eV per atom
**Fermi-level density of states**: 12.56 states/eV/cell
**Calculated formation energy**: -0.21 eV/atom

Cell lengths 7.4206, 7.4206, 2.9634 Å; angles 90.00, 90.00, 90.00 degrees
Fractional coordinates of all 10 atoms:
Ti 0.1711 0.3289 0.0000
Ti 0.3289 0.8289 0.0000
Ti 0.6711 0.1711 0.0000
Ti 0.8289 0.6711 0.0000
V 0.0000 0.0000 0.5000
V 0.5000 0.5000 0.5000
Pd 0.1301 0.6301 0.5000
Pd 0.3699 0.1301 0.5000
Pd 0.6301 0.8699 0.5000
Pd 0.8699 0.3699 0.5000

---

A plane-wave DFT calculation with GGA-PBE was carried out for a geometry-optimized PaAgSn structure.

Summary:
**Theoretical density**: 10.889 Mg/m³
**Energy**: -5.3703 eV per atom
**Fermi-level density of states**: 4.63 states/eV/cell
**Calculated formation energy**: 0.08 eV/atom

Cell lengths 7.1129, 7.1129, 7.1129 Å; angles 153.85, 153.85, 37.31 degrees
Fractional coordinates of all 3 atoms:
Pa 0.0000 0.0000 0.0000
Ag 0.6687 0.6687 0.0000
Sn 0.3225 0.3225 0.0000

---

A plane-wave DFT calculation with GGA-PBE was carried out for a geometry-optimized RbSr2Ni structure.

Summary:
**Relative energy among the computed polymorphs**: 0 meV/atom
**Theoretical density**: 2.704 Mg/m³
**Energy**: -2.4136 eV per atom
**Fermi-level density of states**: 3.37 states/eV/cell
**Calculated formation energy**: 0.11 eV/atom

Cell lengths 12.1465, 12.1465, 12.1465 Å; angles 20.71, 20.71, 20.71 degrees
Fractional coordinates of all 4 atoms:
Rb 0.0000 0.0000 0.0000
Sr 0.1223 0.1223 0.1223
Sr 0.8777 0.8777 0.8777
Ni 0.5000 0.5000 0.5000

---

A plane-wave DFT calculation with GGA-PBE was carried out for a geometry-optimized RbSnAu2Se4 structure.

Summary:
**Theoretical density**: 6.245 Mg/m³
**Energy**: -3.5799 eV per atom
**Formation energy (no corrections)**: -0.3970 eV per atom
**Fermi-level density of states**: 4.13 states/eV/cell

Cell lengths 6.8796, 6.8796, 6.8796 Å; angles 118.49, 111.98, 98.55 degrees
Fractional coordinates of all 8 atoms:
Rb 0.0000 0.0000 0.0000
Sn 0.5000 0.5000 0.0000
Au 0.3396 0.8396 0.5000
Au 0.6604 0.1604 0.5000
Se 0.1428 0.1212 0.5933
Se 0.4721 0.8788 0.0216
Se 0.5279 0.5495 0.4067
Se 0.8572 0.4505 0.9784

---

A plane-wave DFT calculation with GGA-PBE was carried out for a geometry-optimized KRbBe2Se structure.

Summary:
**Theoretical density**: 1.737 Mg/m³
**Energy**: -1.2703 eV per atom
**Formation energy (no corrections)**: 1.3301 eV per atom
**Fermi-level density of states**: 2.48 states/eV/cell

Cell lengths 5.5957, 5.5957, 6.7625 Å; angles 90.00, 90.00, 90.00 degrees
Fractional coordinates of all 5 atoms:
K 0.0000 0.0000 0.0000
Rb 0.0000 0.0000 0.5000
Be 0.0000 0.5000 0.0000
Be 0.5000 0.0000 0.0000
Se 0.5000 0.5000 0.5000

---

A plane-wave DFT calculation with GGA-PBE was carried out for a geometry-optimized SiCSe2Br structure.

Summary:
**Relative energy among the computed polymorphs**: 0 meV/atom
**Theoretical density**: 4.930 Mg/m³
**Energy**: -3.4516 eV per atom
**Formation energy (no corrections)**: 1.2062 eV per atom
**Fermi-level density of states**: 2.55 states/eV/cell

Cell lengths 4.4264, 4.4264, 4.7780 Å; angles 90.00, 90.00, 90.00 degrees
Fractional coordinates of all 5 atoms:
Si 0.0000 0.0000 0.0000
C 0.5000 0.5000 0.5000
Se 0.0000 0.5000 0.5000
Se 0.5000 0.0000 0.5000
Br 0.5000 0.5000 0.0000

---

A plane-wave DFT calculation with GGA-PBE was carried out for a geometry-optimized ZrHgW structure.

Summary:
**Relative energy among the computed polymorphs**: 114 meV/atom
**Theoretical density**: 13.399 Mg/m³
**Energy**: -6.8545 eV per atom
**Fermi-level density of states**: 1.69 states/eV/cell
**Calculated formation energy**: 0.41 eV/atom

Cell lengths 5.0112, 5.0112, 2.7106 Å; angles 90.00, 90.00, 120.00 degrees
Fractional coordinates of all 3 atoms:
Zr 0.0000 0.0000 0.0000
Hg 0.6667 0.3333 0.5044
W 0.3333 0.6667 0.4943

---

A plane-wave DFT calculation with GGA-PBE was carried out for a geometry-optimized ScCu4Te structure.

Summary:
**Theoretical density**: 7.494 Mg/m³
**Energy**: -4.4235 eV per atom
**Formation energy (no corrections)**: -0.1138 eV per atom
**Fermi-level density of states**: 4.41 states/eV/cell

Cell lengths 5.1137, 5.1137, 5.1137 Å; angles 60.00, 60.00, 60.00 degrees
Fractional coordinates of all 6 atoms:
Sc 0.0000 0.0000 0.0000
Cu 0.3743 0.3743 0.3743
Cu 0.3743 0.3743 0.8770
Cu 0.3743 0.8770 0.3743
Cu 0.8770 0.3743 0.3743
Te 0.7500 0.7500 0.7500

---

A plane-wave DFT calculation with GGA-PBE was carried out for a geometry-optimized IrOs2Rh2 structure.

Summary:
**Relative energy among the computed polymorphs**: 6 meV/atom
**Theoretical density**: 18.086 Mg/m³
**Energy**: -9.1588 eV per atom
**Fermi-level density of states**: 5.05 states/eV/cell
**Calculated formation energy**: 0.05 eV/atom

Cell lengths 4.7131, 4.7131, 6.0893 Å; angles 130.06, 130.06, 48.16 degrees
Fractional coordinates of all 5 atoms:
Ir 0.0000 0.0000 0.0000
Os 0.1971 0.1971 0.5894
Os 0.8029 0.8029 0.4106
Rh 0.4040 0.4040 0.2012
Rh 0.5960 0.5960 0.7988